AlTlSe2Br: relaxed, PBE.

Properties
- formation energy without anion corrections (eV per formula unit) = -2.192
- energy relative to the lowest polymorph listed for this composition (meV/atom) = 0

abc: 4.9416 4.9416 5.4385
angles: 90.00 90.00 90.00
Closest atoms and distances in Å follow each position.
Sites, in units of the cell vectors:
Al 0.0000 0.0000 0.0000  4 Se 2.47, 2 Br 2.72
Tl 0.5000 0.5000 0.5000  4 Br 3.49, 8 Se 3.67
Se 0.0000 0.5000 0.0000  2 Al 2.47
Se 0.5000 0.0000 0.0000  2 Al 2.47
Br 0.0000 0.0000 0.5000  2 Al 2.72



ErInAu: relaxed, PBE.

Properties
- E_form (eV/atom) = -0.55

abc: 3.4681 3.4681 11.5517
angles: 90.00 90.00 90.00
Closest atoms and distances in Å follow each position.
Sites, in units of the cell vectors:
Er 0.0000 0.0000 0.0000  4 Au 2.99, 4 In 3.32
Er 0.5000 0.5000 0.5000  4 Au 2.99, 4 In 3.32
In 0.0000 0.0000 0.6939  4 Au 3.05, 4 Er 3.32
In 0.5000 0.5000 0.1939  4 Au 3.05, 4 Er 3.32
Au 0.0000 0.0000 0.3515  4 Er 2.99, 4 In 3.05
Au 0.5000 0.5000 0.8515  4 Er 2.99, 4 In 3.05



For reference, N(E_F) by record: 4.65 2.76 states/eV per cell.
For reference, electronic total energy by record: -16.9 -12.2 eV/f.u..